Computed, not measured: a relaxed MgAl2Cl crystal at the PBE level of DFT.

## Properties
Magnetization ... 0.00 Bohr magnetons per cell
ΔE_f (raw) ... -0.061 eV/atom
Energy ... -2.792 eV/atom
Distance to the lowest polymorph of the same formula ... 251 meV per atom
Fermi-level density of states ... 0.37 states/eV per atom

a b c (Å): 6.326 6.326 6.326
angles (deg): 144.15 144.15 51.60
Positions (direct):
Mg 0.000 0.000 0.000
Al 0.250 0.750 0.500
Al 0.750 0.250 0.500
Cl 0.500 0.500 0.000